# 1
Density functional theory data (PBE) for a relaxed La2MgSc crystal.

Output
Its total energy is -17.59 eV for the cell shown. As for the symmetry: No. 25.

```
4
Lattice="-3.0635 0.4540 -1.5401 -1.0025 -4.8318 0.5697 -2.9058 1.3306 6.1725" Properties=species:S:1:pos:R:3 pbc="T T T"
La -2.8779 1.3178 6.1132
La -2.7789 -1.8473 1.0992
Sc -4.1829 -1.2044 4.0817
Mg -1.4908 0.6827 3.1668
```

***

# 2
Density functional theory data (PBE) for a relaxed Pr2BiCl2 crystal.

Output
The value obtained for the uncorrected formation energy is -36.05 kcal/mol of atoms. Its total energy is -24.95 eV for the cell shown. As for the symmetry: No. 166.

```
5
Lattice="4.2891 0.0000 0.9995 2.0281 3.7793 0.9995 -0.2429 -0.1453 10.7454" Properties=species:S:1:pos:R:3 pbc="T T T"
Pr 2.2917 1.3710 9.5711
Pr 3.7826 2.2630 3.1732
Cl 1.3292 0.7952 3.9989
Cl 4.7451 2.8388 8.7455
Bi 0.0000 0.0000 0.0000
```

***

# 3
Density functional theory data (PBE) for a relaxed CeMnS4 crystal.

Output
The value obtained for the uncorrected formation energy is -22.89 kcal/mol of atoms. Its total energy is -75.14 eV for the cell shown. As for the symmetry: No. 12.

```
12
Lattice="3.7485 0.0000 0.0000 0.0000 6.3560 1.0125 0.0000 2.1436 12.1262" Properties=species:S:1:pos:R:3 pbc="T T T"
Ce 0.0000 1.0718 6.0631
Ce 1.8742 3.1780 0.5062
S 1.8743 3.1598 10.9718
S 3.7484 1.6206 1.6946
S 0.0001 3.2336 7.7237
S 1.8743 5.8704 8.2640
S 3.7484 5.2660 5.4149
S 1.8742 5.3398 2.1669
S 0.0000 6.8790 11.4440
S 1.8742 2.6292 4.8747
Mn 1.8742 4.2498 6.5693
Mn 0.0000 0.0000 0.0000
```

***

# 4
Density functional theory data (PBE) for a relaxed K2AcB2S6 crystal.

Output
The value obtained for the uncorrected formation energy is -23.50 kcal/mol of atoms. Its total energy is -55.63 eV for the cell shown. As for the symmetry: No. 12.

```
11
Lattice="6.5534 0.0000 0.0000 -3.2767 5.1931 -0.1086 0.0000 -3.0272 8.7585" Properties=species:S:1:pos:R:3 pbc="T T T"
S 3.2767 1.5684 4.5624
S 0.0000 0.5975 4.0875
S 1.6846 4.1792 1.8160
S -1.6846 4.1792 1.8160
S 4.9613 -2.0133 6.8338
S 1.5921 -2.0133 6.8338
Ac 3.2767 -1.5136 4.3792
K 3.2767 1.5811 1.0423
K 0.0000 0.5847 7.6075
B 3.2767 2.6432 6.0525
B 0.0000 -0.4774 2.5974
```

***

# 5
Density functional theory data (PBE) for a relaxed CdTeMo2As crystal.

Output
The value obtained for the uncorrected formation energy is 37.46 kcal/mol of atoms. Its total energy is -22.25 eV for the cell shown. As for the symmetry: No. 123.

```
5
Lattice="-3.7730 0.8693 3.2615 -1.4957 -5.0322 -0.3890 3.0536 -1.2055 3.8538" Properties=species:S:1:pos:R:3 pbc="T T T"
Te 0.0000 0.0000 0.0000
Mo -1.8865 0.4347 1.6308
Mo 1.5268 -0.6027 1.9269
As -0.7478 -2.5161 -0.1945
Cd -1.1076 -2.6842 3.3632
```

***

# 6
Density functional theory data (PBE) for a relaxed Cs2YBiS4 crystal.

Output
The value obtained for the uncorrected formation energy is -25.80 kcal/mol of atoms. Its total energy is -75.02 eV for the cell shown. As for the symmetry: No. 70.

```
16
Lattice="-1.6269 6.0563 3.2046 -7.7725 2.9043 -1.6966 -5.2906 -3.2977 11.2844" Properties=species:S:1:pos:R:3 pbc="T T T"
Bi -0.8134 3.0281 1.6023
Bi -6.9383 1.3174 5.5950
S -7.2806 3.6865 0.7221
S -8.2437 3.5634 4.7786
S -3.0659 3.9360 2.8341
S -6.4930 2.2733 8.1056
S -12.4842 4.9288 11.6525
S -4.6858 0.4095 4.3633
S -9.9575 5.0797 8.3371
S -6.5493 -1.2254 10.3761
Y 0.0000 0.0000 0.0000
Y -7.7517 4.3455 7.1973
Cs -3.6596 -0.9932 7.7572
Cs -9.3828 2.0411 10.7245
Cs -6.1207 6.6500 3.6702
Cs -3.2579 3.7518 6.7318
```

***

# 7
Density functional theory data (PBE) for a relaxed NdDyHg2 crystal.

Output
Its total energy is -11.25 eV for the cell shown. As for the symmetry: No. 160. Its energy above the lowest structure with this stoichiometry is 159.1 meV per atom.

```
4
Lattice="-2.7058 -2.7312 -0.0873 -0.9225 -1.8961 3.2158 -7.6190 4.7477 2.9129" Properties=species:S:1:pos:R:3 pbc="T T T"
Nd -2.4211 -3.0827 2.0863
Hg -5.9619 3.1215 2.4294
Hg -2.8668 0.0840 1.5264
Dy -5.6211 0.0577 3.0200
```

***

# 8
Density functional theory data (PBE) for a relaxed La5Pm4Ho crystal.

Output
Its total energy is -48.02 eV for the cell shown. As for the symmetry: No. 123. Its energy above the lowest structure with this stoichiometry is 0.0 meV per atom.

```
10
Lattice="3.7183 0.0000 0.0000 0.0000 3.7183 0.0000 0.0000 0.0000 25.6470" Properties=species:S:1:pos:R:3 pbc="T T T"
La 1.8591 1.8591 2.4934
La 1.8591 1.8591 7.6518
La 1.8591 1.8591 17.9952
La 1.8591 1.8591 23.1537
La 1.8591 1.8591 12.8235
Pm 0.0000 0.0000 5.0625
Pm 0.0000 0.0000 20.5845
Pm 0.0000 0.0000 15.4087
Pm 0.0000 0.0000 10.2384
Ho 0.0000 0.0000 0.0000
```